Entry w
# MnB2F2 (PBE with a Hubbard U, optimized geometry)
# Calculated density: 3.039 g cm⁻³
# Total moment: 0.93 μB/atom
data_MnB2F2
_symmetry_space_group_name_H-M 'P 4/m b m'
_symmetry_Int_Tables_number 127
_symmetry_space_group_name_Hall '-P 4 2ab'
_cell_length_a 5.3253
_cell_length_b 5.3253
_cell_length_c 4.4141
_cell_angle_alpha 90.00
_cell_angle_beta 90.00
_cell_angle_gamma 90.00
loop_
_atom_site_label
_atom_site_fract_x
_atom_site_fract_y
_atom_site_fract_z
_atom_site_occupancy
Mn1 0.0000 0.0000 0.0000 1
B1 0.2270 0.2730 0.5000 1
F1 0.1640 0.3360 0.0000 1



Entry x
# MnB2F2 (PBE with a Hubbard U, optimized geometry)
# Calculated density: 2.866 g cm⁻³
# Total moment: 0.99 μB/atom
data_MnB2F2
_symmetry_space_group_name_H-M 'I 4/m m m'
_symmetry_Int_Tables_number 139
_symmetry_space_group_name_Hall '-I 4 2'
_cell_length_a 2.6563
_cell_length_b 2.6563
_cell_length_c 18.8151
_cell_angle_alpha 90.00
_cell_angle_beta 90.00
_cell_angle_gamma 90.00
loop_
_atom_site_label
_atom_site_fract_x
_atom_site_fract_y
_atom_site_fract_z
_atom_site_occupancy
Mn1 0.0000 0.0000 0.0000 1
B1 0.0000 0.5000 0.2500 1
F1 0.0000 0.0000 0.4366 1



It comes down to entry x, which is 0.821 eV/atom more stable than the next structure.



Entry w
# MnBF5 (PBE with a Hubbard U, optimized geometry)
# Calculated density: 3.465 g cm⁻³
# Total moment: 0.71 μB/atom
data_MnBF5
_symmetry_space_group_name_H-M 'C 1 2/c 1'
_symmetry_Int_Tables_number 15
_symmetry_space_group_name_Hall '-C 2yc'
_cell_length_a 8.0158
_cell_length_b 6.1380
_cell_length_c 6.9478
_cell_angle_alpha 90.00
_cell_angle_beta 115.68
_cell_angle_gamma 90.00
loop_
_atom_site_label
_atom_site_fract_x
_atom_site_fract_y
_atom_site_fract_z
_atom_site_occupancy
Mn1 0.0000 0.0005 0.2500 1
B1 0.0000 0.5000 0.0000 1
F1 0.0005 0.2092 0.9999 1
F2 0.0000 0.4994 0.2500 1
F3 0.2013 0.5005 0.1006 1



Entry x
# MnBF5 (PBE with a Hubbard U, optimized geometry)
# Calculated density: 2.704 g cm⁻³
# Total moment: 0.71 μB/atom
data_MnBF5
_symmetry_space_group_name_H-M 'C 1 2/c 1'
_symmetry_Int_Tables_number 15
_symmetry_space_group_name_Hall '-C 2yc'
_cell_length_a 7.8022
_cell_length_b 7.5791
_cell_length_c 7.6750
_cell_angle_alpha 90.00
_cell_angle_beta 119.56
_cell_angle_gamma 90.00
loop_
_atom_site_label
_atom_site_fract_x
_atom_site_fract_y
_atom_site_fract_z
_atom_site_occupancy
Mn1 0.0000 0.0000 0.0000 1
B1 0.0000 0.3883 0.2500 1
F1 0.0000 0.0780 0.7500 1
F2 0.0017 0.2805 0.4025 1
F3 0.1697 0.4963 0.3342 1



It comes down to entry x, which is 0.454 eV/atom more stable than the next structure.



Entry w
# MnB2F8 (PBE with a Hubbard U, optimized geometry)
# Calculated density: 2.674 g cm⁻³
# Total moment: 0.45 μB/atom
data_MnB2F8
_symmetry_space_group_name_H-M 'C 1 2/m 1'
_symmetry_Int_Tables_number 12
_symmetry_space_group_name_Hall '-C 2y'
_cell_length_a 9.7123
_cell_length_b 6.0282
_cell_length_c 4.9840
_cell_angle_alpha 90.00
_cell_angle_beta 103.42
_cell_angle_gamma 90.00
loop_
_atom_site_label
_atom_site_fract_x
_atom_site_fract_y
_atom_site_fract_z
_atom_site_occupancy
Mn1 0.0000 0.0000 0.0000 1
B1 0.1981 0.0000 0.6718 1
F1 0.1317 0.1869 0.7707 1
F2 0.1582 0.0000 0.3744 1
F3 0.1582 0.5000 0.2388 1



Entry x
# MnB2F8 (PBE with a Hubbard U, optimized geometry)
# Calculated density: 2.833 g cm⁻³
# Total moment: 0.45 μB/atom
data_MnB2F8
_symmetry_space_group_name_H-M 'P n m a'
_symmetry_Int_Tables_number 62
_symmetry_space_group_name_Hall '-P 2ac 2n'
_cell_length_a 8.7144
_cell_length_b 5.5470
_cell_length_c 11.0867
_cell_angle_alpha 90.00
_cell_angle_beta 90.00
_cell_angle_gamma 90.00
loop_
_atom_site_label
_atom_site_fract_x
_atom_site_fract_y
_atom_site_fract_z
_atom_site_occupancy
Mn1 0.2469 0.2500 0.1018 1
B1 0.0051 0.7500 0.1553 1
B2 0.1469 0.2500 0.4071 1
F1 0.0053 0.7500 0.6401 1
F2 0.0674 0.2500 0.9598 1
F3 0.0985 0.2500 0.7516 1
F4 0.1025 0.5419 0.1617 1
F5 0.1668 0.0406 0.4789 1
F6 0.2450 0.7500 0.8125 1



It comes down to entry x, which is 0.042 eV/atom more stable than the next structure.



Entry w
# MnBNF2 (PBE with a Hubbard U, optimized geometry)
# Calculated density: 3.933 g cm⁻³
# Total moment: 0.98 μB/atom
data_MnBNF2
_symmetry_space_group_name_H-M 'P 4/m m m'
_symmetry_Int_Tables_number 123
_symmetry_space_group_name_Hall '-P 4 2'
_cell_length_a 4.2424
_cell_length_b 4.2424
_cell_length_c 2.7626
_cell_angle_alpha 90.00
_cell_angle_beta 90.00
_cell_angle_gamma 90.00
loop_
_atom_site_label
_atom_site_fract_x
_atom_site_fract_y
_atom_site_fract_z
_atom_site_occupancy
Mn1 0.0000 0.0000 0.0000 1
B1 0.5000 0.5000 0.5000 1
N1 0.5000 0.5000 0.0000 1
F1 0.0000 0.5000 0.5000 1



Entry x
# MnBNF2 (PBE with a Hubbard U, optimized geometry)
# Calculated density: 3.070 g cm⁻³
# Total moment: 0.60 μB/atom
data_MnBNF2
_symmetry_space_group_name_H-M 'P 4/m m m'
_symmetry_Int_Tables_number 123
_symmetry_space_group_name_Hall '-P 4 2'
_cell_length_a 4.0466
_cell_length_b 4.0466
_cell_length_c 3.8889
_cell_angle_alpha 90.00
_cell_angle_beta 90.00
_cell_angle_gamma 90.00
loop_
_atom_site_label
_atom_site_fract_x
_atom_site_fract_y
_atom_site_fract_z
_atom_site_occupancy
Mn1 0.0000 0.0000 0.0000 1
B1 0.5000 0.5000 0.5000 1
N1 0.0000 0.0000 0.5000 1
F1 0.0000 0.5000 0.0000 1



It comes down to entry w, which is 1.114 eV/atom more stable than the next structure.